# 1
The following is a DFT calculation (PBE-GGA) of a relaxed structure of FeNiAgPb.

Cell lengths 4.5023, 4.5023, 4.5023 Å; angles 60.00, 60.00, 60.00 degrees
Fractional coordinates of all 4 atoms:
Ni 0.2500 0.2500 0.2500
Pb 0.0000 0.0000 0.0000
Fe 0.7500 0.7500 0.7500
Ag 0.5000 0.5000 0.5000

Results
The energy is -4.72 eV per atom.



# 2
The following is a DFT calculation (PBE-GGA) of a relaxed structure of GdAgTePbSe2.

Cell lengths 7.4162, 7.4162, 11.2808 Å; angles 90.00, 90.00, 147.13 degrees
Fractional coordinates of all 12 atoms:
Ag 0.0273 0.9727 0.2500
Ag 0.9727 0.0273 0.7500
Se 0.1360 0.8640 0.4404
Se 0.1360 0.8640 0.0596
Se 0.8640 0.1360 0.9404
Se 0.8640 0.1360 0.5596
Te 0.3953 0.6047 0.2500
Te 0.6047 0.3953 0.7500
Gd 0.5000 0.5000 0.0000
Gd 0.5000 0.5000 0.5000
Pb 0.2836 0.7164 0.7500
Pb 0.7164 0.2836 0.2500

Results
The energy is -4.44 eV per atom.



# 3
The following is a DFT calculation (PBE-GGA) of a relaxed structure of LuAlFe2.

Cell lengths 4.4595, 4.4595, 4.4595 Å; angles 60.00, 60.00, 60.00 degrees
Last column: magnetic moment on the atom in μB.
Fractional coordinates of all 4 atoms:
Al 0.5000 0.5000 0.5000  -0.04
Lu 0.2500 0.2500 0.2500  -0.21
Fe 0.7500 0.7500 0.7500  2.31
Fe 0.0000 0.0000 0.0000  2.28

Results
The energy is -6.19 eV per atom.



# 4
The following is a DFT calculation (PBE-GGA) of a relaxed structure of LiLuFeSi.

Cell lengths 4.4336, 4.4336, 4.4336 Å; angles 60.00, 60.00, 60.00 degrees
Fractional coordinates of all 4 atoms:
Lu 0.2500 0.2500 0.2500
Li 0.5000 0.5000 0.5000
Fe 0.7500 0.7500 0.7500
Si 0.0000 0.0000 0.0000

Results
The energy is -5.20 eV per atom.



- What is the energy in the first record?
  -4.72 eV per atom



- Number 3 is which compound?
  LuAlFe2



- Which of these has the highest energy?
  GdAgTePbSe2



- energy of number 1 (FeNiAgPb)?
  -4.72 eV per atom